## a
# KSc2Ta

An optimized crystal structure of KSc2Ta (PBE, Alexandria via LeMat-Bulk).

```
data_KSc2Ta
_cell_length_a 3.1800
_cell_length_b 3.1845
_cell_length_c 11.0672
_cell_angle_alpha 90.00
_cell_angle_beta 90.42
_cell_angle_gamma 90.00
_space_group_name_H-M_alt 'P 1'
_space_group_IT_number 1
_space_group_name_Hall 'P 1'
loop_
_atom_site_label
_atom_site_type_symbol
_atom_site_fract_x
_atom_site_fract_y
_atom_site_fract_z
K1 K 0.0000 0.0000 0.0000
Sc1 Sc 0.4950 0.5000 0.3201
Sc2 Sc 0.5050 0.5000 0.6799
Ta1 Ta 0.0000 0.0000 0.5000
```

Summary:
* N(E_F): 1.07 states/eV/atom
* calculated density: 4593 kg/m3

=====

## b
# KSc2Ta

An optimized crystal structure of KSc2Ta (PBE, Alexandria via LeMat-Bulk).

```
data_KSc2Ta
_cell_length_a 3.0976
_cell_length_b 5.5068
_cell_length_c 5.9473
_cell_angle_alpha 90.00
_cell_angle_beta 90.00
_cell_angle_gamma 90.00
_space_group_name_H-M_alt 'P 1'
_space_group_IT_number 1
_space_group_name_Hall 'P 1'
loop_
_atom_site_label
_atom_site_type_symbol
_atom_site_fract_x
_atom_site_fract_y
_atom_site_fract_z
K1 K 0.0000 0.0000 0.0000
Sc1 Sc 0.0000 0.5000 0.5000
Sc2 Sc 0.5000 0.5000 0.0000
Ta1 Ta 0.5000 0.0000 0.5000
```

Summary:
* N(E_F): 1.21 states/eV/atom
* calculated density: 5074 kg/m3

=====

## c
# KSc2Ta

An optimized crystal structure of KSc2Ta (PBE, Alexandria via LeMat-Bulk).

```
data_KSc2Ta
_cell_length_a 6.7798
_cell_length_b 6.7798
_cell_length_c 14.9202
_cell_angle_alpha 90.00
_cell_angle_beta 90.00
_cell_angle_gamma 90.00
_space_group_name_H-M_alt 'P 1'
_space_group_IT_number 1
_space_group_name_Hall 'P 1'
loop_
_atom_site_label
_atom_site_type_symbol
_atom_site_fract_x
_atom_site_fract_y
_atom_site_fract_z
K1 K 0.0000 0.2500 0.3750
K2 K 0.0000 0.7500 0.6250
K3 K 0.5000 0.2500 0.1250
K4 K 0.5000 0.7500 0.8750
Sc1 Sc 0.0000 0.0000 0.0000
Sc2 Sc 0.0000 0.5000 0.0000
Sc3 Sc 0.2500 0.2500 0.7500
Sc4 Sc 0.2500 0.7500 0.2500
Sc5 Sc 0.5000 0.0000 0.5000
Sc6 Sc 0.5000 0.5000 0.5000
Sc7 Sc 0.7500 0.2500 0.7500
Sc8 Sc 0.7500 0.7500 0.2500
Ta1 Ta 0.0000 0.2500 0.8750
Ta2 Ta 0.0000 0.7500 0.1250
Ta3 Ta 0.5000 0.2500 0.6250
Ta4 Ta 0.5000 0.7500 0.3750
```

Summary:
* N(E_F): 1.50 states/eV/atom
* calculated density: 3002 kg/m3

=====

## d
# KSc2Ta

An optimized crystal structure of KSc2Ta (PBE, Alexandria via LeMat-Bulk).

```
data_KSc2Ta
_cell_length_a 7.3503
_cell_length_b 7.3503
_cell_length_c 7.3503
_cell_angle_alpha 90.00
_cell_angle_beta 90.00
_cell_angle_gamma 90.00
_space_group_name_H-M_alt 'P 1'
_space_group_IT_number 1
_space_group_name_Hall 'P 1'
loop_
_atom_site_label
_atom_site_type_symbol
_atom_site_fract_x
_atom_site_fract_y
_atom_site_fract_z
K1 K 0.0000 0.0000 0.0000
K2 K 0.0000 0.5000 0.5000
K3 K 0.5000 0.0000 0.5000
K4 K 0.5000 0.5000 0.0000
Sc1 Sc 0.2500 0.2500 0.2500
Sc2 Sc 0.2500 0.2500 0.7500
Sc3 Sc 0.2500 0.7500 0.2500
Sc4 Sc 0.2500 0.7500 0.7500
Sc5 Sc 0.7500 0.2500 0.2500
Sc6 Sc 0.7500 0.2500 0.7500
Sc7 Sc 0.7500 0.7500 0.2500
Sc8 Sc 0.7500 0.7500 0.7500
Ta1 Ta 0.0000 0.0000 0.5000
Ta2 Ta 0.0000 0.5000 0.0000
Ta3 Ta 0.5000 0.0000 0.0000
Ta4 Ta 0.5000 0.5000 0.5000
```

Summary:
* N(E_F): 1.46 states/eV/atom
* calculated density: 5184 kg/m3

=====

Tell me which of them is the least stable. Sure, it is c.

=====

## a
# KSc3Ta

An optimized crystal structure of KSc3Ta (PBE, Alexandria via LeMat-Bulk).

```
data_KSc3Ta
_cell_length_a 4.8043
_cell_length_b 4.8043
_cell_length_c 4.8043
_cell_angle_alpha 90.00
_cell_angle_beta 90.00
_cell_angle_gamma 90.00
_space_group_name_H-M_alt 'P 1'
_space_group_IT_number 1
_space_group_name_Hall 'P 1'
loop_
_atom_site_label
_atom_site_type_symbol
_atom_site_fract_x
_atom_site_fract_y
_atom_site_fract_z
K1 K 0.0000 0.0000 0.0000
Sc1 Sc 0.0000 0.0000 0.5000
Sc2 Sc 0.0000 0.5000 0.0000
Sc3 Sc 0.5000 0.0000 0.0000
Ta1 Ta 0.5000 0.5000 0.5000
```

Summary:
* N(E_F): 1.16 states/eV/atom
* calculated density: 5315 kg/m3

=====

## b
# KSc3Ta

An optimized crystal structure of KSc3Ta (PBE, Alexandria via LeMat-Bulk).

```
data_KSc3Ta
_cell_length_a 5.3755
_cell_length_b 5.3755
_cell_length_c 5.3755
_cell_angle_alpha 90.00
_cell_angle_beta 90.00
_cell_angle_gamma 90.00
_space_group_name_H-M_alt 'P 1'
_space_group_IT_number 1
_space_group_name_Hall 'P 1'
loop_
_atom_site_label
_atom_site_type_symbol
_atom_site_fract_x
_atom_site_fract_y
_atom_site_fract_z
K1 K 0.0000 0.0000 0.0000
Sc1 Sc 0.0000 0.5000 0.5000
Sc2 Sc 0.5000 0.0000 0.5000
Sc3 Sc 0.5000 0.5000 0.0000
Ta1 Ta 0.5000 0.5000 0.5000
```

Summary:
* N(E_F): 1.57 states/eV/atom
* calculated density: 3794 kg/m3

=====

Tell me which of them is the least stable. Sure, it is a.

=====

## a
# K2ScTc2

An optimized crystal structure of K2ScTc2 (PBE, Alexandria via LeMat-Bulk).

```
data_K2ScTc2
_cell_length_a 9.9238
_cell_length_b 9.9238
_cell_length_c 2.8354
_cell_angle_alpha 90.00
_cell_angle_beta 90.00
_cell_angle_gamma 90.00
_space_group_name_H-M_alt 'P 1'
_space_group_IT_number 1
_space_group_name_Hall 'P 1'
loop_
_atom_site_label
_atom_site_type_symbol
_atom_site_fract_x
_atom_site_fract_y
_atom_site_fract_z
K1 K 0.2076 0.2924 0.0000
K2 K 0.2924 0.7924 0.0000
K3 K 0.7076 0.2076 0.0000
K4 K 0.7924 0.7076 0.0000
Sc1 Sc 0.0000 0.0000 0.5000
Sc2 Sc 0.5000 0.5000 0.5000
Tc1 Tc 0.0767 0.5767 0.5000
Tc2 Tc 0.4233 0.0767 0.5000
Tc3 Tc 0.5767 0.9233 0.5000
Tc4 Tc 0.9233 0.4233 0.5000
```

Summary:
* N(E_F): 1.17 states/eV/atom
* calculated density: 3796 kg/m3

=====

## b
# K2ScTc2

An optimized crystal structure of K2ScTc2 (PBE, Alexandria via LeMat-Bulk).

```
data_K2ScTc2
_cell_length_a 4.0048
_cell_length_b 4.0048
_cell_length_c 15.5853
_cell_angle_alpha 90.00
_cell_angle_beta 90.00
_cell_angle_gamma 90.00
_space_group_name_H-M_alt 'P 1'
_space_group_IT_number 1
_space_group_name_Hall 'P 1'
loop_
_atom_site_label
_atom_site_type_symbol
_atom_site_fract_x
_atom_site_fract_y
_atom_site_fract_z
K1 K 0.0000 0.5000 0.2500
K2 K 0.0000 0.5000 0.7500
K3 K 0.5000 0.0000 0.2500
K4 K 0.5000 0.0000 0.7500
Sc1 Sc 0.0000 0.0000 0.0000
Sc2 Sc 0.5000 0.5000 0.5000
Tc1 Tc 0.0000 0.0000 0.4304
Tc2 Tc 0.0000 0.0000 0.5696
Tc3 Tc 0.5000 0.5000 0.0696
Tc4 Tc 0.5000 0.5000 0.9304
```

Summary:
* N(E_F): 0.87 states/eV/atom
* calculated density: 4240 kg/m3

=====

Tell me which of them is the least stable. Sure, it is a.

=====

## a
# KScTc3

An optimized crystal structure of KScTc3 (PBE, Alexandria via LeMat-Bulk).

```
data_KScTc3
_cell_length_a 4.5647
_cell_length_b 4.5647
_cell_length_c 4.5647
_cell_angle_alpha 90.00
_cell_angle_beta 90.00
_cell_angle_gamma 90.00
_space_group_name_H-M_alt 'P 1'
_space_group_IT_number 1
_space_group_name_Hall 'P 1'
loop_
_atom_site_label
_atom_site_type_symbol
_atom_site_fract_x
_atom_site_fract_y
_atom_site_fract_z
K1 K 0.0000 0.0000 0.0000
Sc1 Sc 0.5000 0.5000 0.5000
Tc1 Tc 0.0000 0.0000 0.5000
Tc2 Tc 0.0000 0.5000 0.0000
Tc3 Tc 0.5000 0.0000 0.0000
```

Summary:
* N(E_F): 2.01 states/eV/atom
* calculated density: 6600 kg/m3

=====

## b
# KScTc3

An optimized crystal structure of KScTc3 (PBE, Alexandria via LeMat-Bulk).

```
data_KScTc3
_cell_length_a 4.8751
_cell_length_b 4.8751
_cell_length_c 4.8751
_cell_angle_alpha 90.00
_cell_angle_beta 90.00
_cell_angle_gamma 90.00
_space_group_name_H-M_alt 'P 1'
_space_group_IT_number 1
_space_group_name_Hall 'P 1'
loop_
_atom_site_label
_atom_site_type_symbol
_atom_site_fract_x
_atom_site_fract_y
_atom_site_fract_z
K1 K 0.0000 0.0000 0.0000
Sc1 Sc 0.5000 0.5000 0.5000
Tc1 Tc 0.0000 0.5000 0.5000
Tc2 Tc 0.5000 0.0000 0.5000
Tc3 Tc 0.5000 0.5000 0.0000
```

Summary:
* N(E_F): 1.27 states/eV/atom
* calculated density: 5418 kg/m3

=====

Tell me which of them is the least stable. Sure, it is a.

=====

## a
# K2Sc2Te

An optimized crystal structure of K2Sc2Te (PBE, Alexandria via LeMat-Bulk).

```
data_K2Sc2Te
_cell_length_a 4.2502
_cell_length_b 4.2502
_cell_length_c 18.8510
_cell_angle_alpha 90.00
_cell_angle_beta 90.00
_cell_angle_gamma 90.00
_space_group_name_H-M_alt 'P 1'
_space_group_IT_number 1
_space_group_name_Hall 'P 1'
loop_
_atom_site_label
_atom_site_type_symbol
_atom_site_fract_x
_atom_site_fract_y
_atom_site_fract_z
K1 K 0.0000 0.5000 0.2500
K2 K 0.0000 0.5000 0.7500
K3 K 0.5000 0.0000 0.2500
K4 K 0.5000 0.0000 0.7500
Sc1 Sc 0.0000 0.0000 0.0748
Sc2 Sc 0.0000 0.0000 0.9252
Sc3 Sc 0.5000 0.5000 0.4252
Sc4 Sc 0.5000 0.5000 0.5748
Te1 Te 0.0000 0.0000 0.5000
Te2 Te 0.5000 0.5000 0.0000
```

Summary:
* N(E_F): 0.65 states/eV/atom
* calculated density: 2884 kg/m3

=====

## b
# K2Sc2Te

An optimized crystal structure of K2Sc2Te (PBE, Alexandria via LeMat-Bulk).

```
data_K2Sc2Te
_cell_length_a 7.4646
_cell_length_b 7.4646
_cell_length_c 6.7469
_cell_angle_alpha 90.00
_cell_angle_beta 90.00
_cell_angle_gamma 90.00
_space_group_name_H-M_alt 'P 1'
_space_group_IT_number 1
_space_group_name_Hall 'P 1'
loop_
_atom_site_label
_atom_site_type_symbol
_atom_site_fract_x
_atom_site_fract_y
_atom_site_fract_z
K1 K 0.1815 0.3185 0.0000
K2 K 0.3185 0.8185 0.0000
K3 K 0.6815 0.1815 0.0000
K4 K 0.8185 0.6815 0.0000
Sc1 Sc 0.1463 0.6463 0.5000
Sc2 Sc 0.3537 0.1463 0.5000
Sc3 Sc 0.6463 0.8537 0.5000
Sc4 Sc 0.8537 0.3537 0.5000
Te1 Te 0.0000 0.0000 0.5000
Te2 Te 0.5000 0.5000 0.5000
```

Summary:
* N(E_F): 0.67 states/eV/atom
* calculated density: 2612 kg/m3

=====

Tell me which of them is the least stable. Sure, it is a.

=====

## a
# K2Sc2Te

An optimized crystal structure of K2Sc2Te (PBE, Alexandria via LeMat-Bulk).

```
data_K2Sc2Te
_cell_length_a 8.1722
_cell_length_b 8.1722
_cell_length_c 6.0189
_cell_angle_alpha 90.00
_cell_angle_beta 90.00
_cell_angle_gamma 90.00
_space_group_name_H-M_alt 'P 1'
_space_group_IT_number 1
_space_group_name_Hall 'P 1'
loop_
_atom_site_label
_atom_site_type_symbol
_atom_site_fract_x
_atom_site_fract_y
_atom_site_fract_z
K1 K 0.1415 0.3585 0.0000
K2 K 0.3585 0.8585 0.0000
K3 K 0.6415 0.1415 0.0000
K4 K 0.8585 0.6415 0.0000
Sc1 Sc 0.1411 0.6411 0.5000
Sc2 Sc 0.3589 0.1411 0.5000
Sc3 Sc 0.6411 0.8589 0.5000
Sc4 Sc 0.8589 0.3589 0.5000
Te1 Te 0.0000 0.0000 0.0000
Te2 Te 0.5000 0.5000 0.0000
```

Summary:
* N(E_F): 1.41 states/eV/atom
* calculated density: 2443 kg/m3

=====

## b
# K2Sc2Te

An optimized crystal structure of K2Sc2Te (PBE, Alexandria via LeMat-Bulk).

```
data_K2Sc2Te
_cell_length_a 4.2061
_cell_length_b 4.2061
_cell_length_c 22.8453
_cell_angle_alpha 90.00
_cell_angle_beta 90.00
_cell_angle_gamma 90.00
_space_group_name_H-M_alt 'P 1'
_space_group_IT_number 1
_space_group_name_Hall 'P 1'
loop_
_atom_site_label
_atom_site_type_symbol
_atom_site_fract_x
_atom_site_fract_y
_atom_site_fract_z
K1 K 0.0000 0.0000 0.0827
K2 K 0.0000 0.0000 0.9173
K3 K 0.5000 0.5000 0.4173
K4 K 0.5000 0.5000 0.5827
Sc1 Sc 0.0000 0.5000 0.2500
Sc2 Sc 0.0000 0.5000 0.7500
Sc3 Sc 0.5000 0.0000 0.2500
Sc4 Sc 0.5000 0.0000 0.7500
Te1 Te 0.0000 0.0000 0.5000
Te2 Te 0.5000 0.5000 0.0000
```

Summary:
* N(E_F): 1.04 states/eV/atom
* calculated density: 2430 kg/m3

=====

Tell me which of them is the least stable. Sure, it is a.